# Zr3Ni5H12

Crystalline Zr3Ni5H12 at its relaxed geometry (PBE, the Alexandria database).

Cell lengths 9.418, 9.418, 9.418 Å; angles 109.47, 109.47, 109.47 degrees
Sites, in units of the cell vectors:
H (0.918, 0.825, 0.799)
Ni (0.000, 0.500, 0.500)
H (0.675, 0.474, 0.593)
Ni (0.500, 0.500, 0.500)
Ni (0.125, 0.375, 0.250)
Zr (0.875, 0.125, 0.250)
Zr (0.375, 0.625, 0.250)
Zr (0.250, 0.625, 0.875)
Zr (0.750, 0.375, 0.125)
H (0.881, 0.299, 0.474)
Ni (0.500, 0.000, 0.500)
H (0.701, 0.119, 0.026)
Ni (0.750, 0.125, 0.875)
H (0.593, 0.974, 0.675)
Ni (0.250, 0.375, 0.625)
H (0.675, 0.201, 0.582)
H (0.881, 0.582, 0.907)
H (0.474, 0.799, 0.881)
H (0.175, 0.082, 0.701)
Ni (0.375, 0.125, 0.750)
H (0.593, 0.619, 0.418)
Ni (0.625, 0.875, 0.250)
H (0.418, 0.299, 0.325)
Ni (0.000, 0.000, 0.500)
Ni (0.500, 0.000, 0.000)
H (0.325, 0.799, 0.418)
H (0.907, 0.082, 0.881)
H (0.407, 0.026, 0.325)
Ni (0.875, 0.250, 0.625)
H (0.299, 0.881, 0.974)
H (0.701, 0.582, 0.175)
H (0.825, 0.907, 0.026)
H (0.026, 0.407, 0.825)
Ni (0.000, 0.000, 0.000)
H (0.201, 0.526, 0.619)
H (0.619, 0.593, 0.918)
H (0.526, 0.201, 0.119)
H (0.526, 0.325, 0.907)
Ni (0.750, 0.625, 0.375)
H (0.619, 0.026, 0.201)
H (0.299, 0.418, 0.825)
H (0.582, 0.881, 0.407)
H (0.799, 0.325, 0.918)
H (0.082, 0.175, 0.201)
Ni (0.250, 0.875, 0.125)
H (0.418, 0.119, 0.593)
Ni (0.625, 0.750, 0.875)
H (0.381, 0.407, 0.082)
Ni (0.000, 0.500, 0.000)
H (0.825, 0.918, 0.299)
H (0.974, 0.593, 0.175)
H (0.119, 0.701, 0.526)
Ni (0.500, 0.500, 0.000)
H (0.026, 0.619, 0.701)
Zr (0.125, 0.875, 0.750)
H (0.918, 0.093, 0.619)
Ni (0.375, 0.250, 0.125)
H (0.201, 0.675, 0.082)
Zr (0.125, 0.250, 0.875)
H (0.799, 0.474, 0.381)
Zr (0.750, 0.875, 0.625)
H (0.082, 0.907, 0.381)
Zr (0.625, 0.375, 0.750)
H (0.407, 0.381, 0.582)
Zr (0.875, 0.750, 0.125)
Ni (0.875, 0.625, 0.750)
H (0.907, 0.825, 0.526)
H (0.325, 0.526, 0.407)
H (0.093, 0.918, 0.119)
H (0.119, 0.418, 0.093)
H (0.582, 0.701, 0.675)
Zr (0.625, 0.250, 0.375)
H (0.474, 0.675, 0.093)
Zr (0.250, 0.125, 0.375)
Zr (0.375, 0.750, 0.625)
H (0.093, 0.175, 0.474)
H (0.381, 0.974, 0.799)
H (0.175, 0.093, 0.974)
Ni (0.125, 0.750, 0.375)
H (0.974, 0.381, 0.299)

## Properties
D(E_F) ... 0.6050 states/eV per atom
Raw total energy ... -4.97 eV/atom
Crystal system ... cubic

***

# Zr3NiH

Crystalline Zr3NiH at its relaxed geometry (PBE, the Alexandria database).

Cell lengths 4.338, 4.338, 4.338 Å; angles 90.00, 90.00, 90.00 degrees
Sites, in units of the cell vectors:
Ni (0.500, 0.500, 0.500)
Zr (0.500, 0.000, 0.000)
Zr (0.000, 0.500, 0.000)
Zr (0.000, 0.000, 0.500)
H (0.000, 0.000, 0.000)

## Properties
Energy above the lowest structure with this stoichiometry ... 0.000 eV per atom
D(E_F) ... 1.7732 states/eV per atom
Raw total energy ... -7.07 eV/atom
Crystal system ... cubic

***

# Zr2NiH

Crystalline Zr2NiH at its relaxed geometry (PBE, the Alexandria database).

Cell lengths 4.414, 4.414, 4.414 Å; angles 60.00, 60.00, 60.00 degrees
Sites, in units of the cell vectors:
Zr (0.750, 0.750, 0.750)
H (0.000, 0.000, 0.000)
Zr (0.250, 0.250, 0.250)
Ni (0.500, 0.500, 0.500)

## Properties
Energy above the lowest structure with this stoichiometry ... 0.228 eV per atom
D(E_F) ... 1.5857 states/eV per atom
Raw total energy ... -6.56 eV/atom
Crystal system ... cubic

***

# Zr2Ni9H

Crystalline Zr2Ni9H at its relaxed geometry (PBE, the Alexandria database).

Cell lengths 3.768, 3.768, 10.172 Å; angles 90.00, 90.00, 90.00 degrees
Each line ends with the local moment (μB).
Sites, in units of the cell vectors:
Ni (0.500, 0.500, 0.000)  0.52
Ni (0.500, 0.000, 0.866)  0.23
Ni (0.000, 0.500, 0.866)  0.23
Ni (0.500, 0.500, 0.682)  0.03
Ni (0.500, 0.000, 0.500)  0.01
Ni (0.500, 0.000, 0.134)  0.23
Zr (0.000, 0.000, 0.686)  -0.03
Ni (0.000, 0.500, 0.134)  0.23
Ni (0.000, 0.500, 0.500)  0.01
H (0.000, 0.000, 0.000)  0.00
Zr (0.000, 0.000, 0.314)  -0.03
Ni (0.500, 0.500, 0.318)  0.03

## Properties
D(E_F) ... 0.7533 states/eV per atom
Raw total energy ... -6.17 eV/atom
Crystal system ... tetragonal

***

# ZrNi2H2

Crystalline ZrNi2H2 at its relaxed geometry (PBE, the Alexandria database).

Cell lengths 3.417, 3.417, 4.737 Å; angles 68.86, 68.86, 90.00 degrees
Sites, in units of the cell vectors:
Zr (0.000, 0.000, 0.000)
Ni (0.669, 0.669, 0.663)
H (0.750, 0.250, 0.500)
H (0.250, 0.750, 0.500)
Ni (0.331, 0.331, 0.337)

## Properties
Energy above the lowest structure with this stoichiometry ... 0.000 eV per atom
D(E_F) ... 0.0671 states/eV per atom
Raw total energy ... -5.64 eV/atom
Crystal system ... tetragonal

***

# ZrNi3H

Crystalline ZrNi3H at its relaxed geometry (PBE, the Alexandria database).

Cell lengths 5.341, 5.353, 5.335 Å; angles 120.26, 112.38, 59.76 degrees
Sites, in units of the cell vectors:
Ni (0.016, 0.130, 0.953)
Ni (0.438, 0.627, 0.383)
Zr (0.958, 0.148, 0.435)
Ni (0.022, 0.623, 0.959)
Ni (0.445, 0.133, 0.388)
Ni (0.510, 0.104, 0.891)
H (0.728, 0.667, 0.673)
H (0.199, 0.398, 0.202)
Zr (0.501, 0.612, 0.907)
Ni (0.949, 0.667, 0.453)

## Properties
Energy above the lowest structure with this stoichiometry ... 0.000 eV per atom
D(E_F) ... 0.5315 states/eV per atom
Raw total energy ... -6.10 eV/atom
Crystal system ... triclinic

***

# Zr2NiH2

Crystalline Zr2NiH2 at its relaxed geometry (PBE, the Alexandria database).

Cell lengths 6.324, 6.324, 2.965 Å; angles 90.00, 90.00, 90.00 degrees
Sites, in units of the cell vectors:
H (0.378, 0.878, 0.000)
Zr (0.177, 0.677, 0.500)
Ni (0.500, 0.500, 0.000)
Zr (0.677, 0.823, 0.500)
H (0.622, 0.122, 0.000)
Ni (0.000, 0.000, 0.000)
H (0.122, 0.378, 0.000)
H (0.878, 0.622, 0.000)
Zr (0.823, 0.323, 0.500)
Zr (0.323, 0.177, 0.500)

## Properties
Energy above the lowest structure with this stoichiometry ... 0.309 eV per atom
D(E_F) ... 0.5530 states/eV per atom
Raw total energy ... -6.06 eV/atom
Crystal system ... tetragonal

***

# ZrNi6H

Crystalline ZrNi6H at its relaxed geometry (PBE, the Alexandria database).

Cell lengths 5.005, 5.005, 5.144 Å; angles 60.89, 60.89, 60.00 degrees
Each line ends with the local moment (μB).
Sites, in units of the cell vectors:
Ni (0.100, 0.100, 0.224)  0.30
Ni (0.100, 0.576, 0.224)  0.30
Ni (0.900, 0.424, 0.776)  0.30
Ni (0.424, 0.900, 0.776)  0.30
Ni (0.576, 0.100, 0.224)  0.30
H (0.000, 0.000, 0.000)  0.00
Zr (0.500, 0.500, 0.500)  -0.10
Ni (0.900, 0.900, 0.776)  0.30

## Properties
D(E_F) ... 1.1796 states/eV per atom
Raw total energy ... -5.89 eV/atom
Crystal system ... trigonal

***

# ZrNi2H

Crystalline ZrNi2H at its relaxed geometry (PBE, the Alexandria database).

Cell lengths 4.175, 4.175, 4.175 Å; angles 60.00, 60.00, 60.00 degrees
Sites, in units of the cell vectors:
H (0.000, 0.000, 0.000)
Ni (0.750, 0.750, 0.750)
Zr (0.500, 0.500, 0.500)
Ni (0.250, 0.250, 0.250)

## Properties
Energy above the lowest structure with this stoichiometry ... 0.543 eV per atom
D(E_F) ... 1.2482 states/eV per atom
Raw total energy ... -5.51 eV/atom
Crystal system ... cubic

***

# ZrNi2H2

Crystalline ZrNi2H2 at its relaxed geometry (PBE, the Alexandria database).

Cell lengths 5.488, 5.488, 3.456 Å; angles 90.00, 90.00, 90.00 degrees
Sites, in units of the cell vectors:
Ni (0.153, 0.653, 0.500)
Ni (0.653, 0.847, 0.500)
H (0.645, 0.855, 0.000)
H (0.355, 0.145, 0.000)
Ni (0.847, 0.347, 0.500)
Ni (0.347, 0.153, 0.500)
H (0.855, 0.355, 0.000)
Zr (0.500, 0.500, 0.000)
Zr (0.000, 0.000, 0.000)
H (0.145, 0.645, 0.000)

## Properties
Energy above the lowest structure with this stoichiometry ... 0.065 eV per atom
D(E_F) ... 0.4492 states/eV per atom
Raw total energy ... -5.58 eV/atom
Crystal system ... tetragonal

***

# ZrNi3H

Crystalline ZrNi3H at its relaxed geometry (PBE, the Alexandria database).

Cell lengths 4.675, 4.675, 4.675 Å; angles 90.00, 90.00, 90.00 degrees
Each line ends with the local moment (μB).
Sites, in units of the cell vectors:
Ni (0.500, 0.000, 0.000)  0.01
Zr (0.000, 0.000, 0.000)  -0.04
Ni (0.000, 0.500, 0.000)  0.00
Ni (0.000, 0.000, 0.500)  0.00
H (0.500, 0.500, 0.500)  0.19

## Properties
Energy above the lowest structure with this stoichiometry ... 2.052 eV per atom
D(E_F) ... 0.9704 states/eV per atom
Raw total energy ... -4.05 eV/atom
Crystal system ... cubic

***

# Zr2NiH8

Crystalline Zr2NiH8 at its relaxed geometry (PBE, the Alexandria database).

Cell lengths 3.300, 4.129, 6.429 Å; angles 108.62, 104.87, 90.00 degrees
Sites, in units of the cell vectors:
Ni (0.500, 0.000, 0.000)
H (0.612, 0.366, 0.224)
Zr (0.150, 0.655, 0.300)
H (0.001, 0.240, 0.001)
H (0.999, 0.760, 0.999)
H (0.768, 0.761, 0.536)
H (0.388, 0.634, 0.776)
H (0.620, 0.899, 0.241)
H (0.232, 0.239, 0.464)
H (0.380, 0.101, 0.759)
Zr (0.850, 0.345, 0.700)

## Properties
D(E_F) ... 0.1986 states/eV per atom
Raw total energy ... -4.74 eV/atom
Crystal system ... monoclinic

***

Which value of raw total energy does entry 2 give?
-7.07 eV/atom

***

Copy entry 4 word for word.
# Zr2Ni9H

Crystalline Zr2Ni9H at its relaxed geometry (PBE, the Alexandria database).

Cell lengths 3.768, 3.768, 10.172 Å; angles 90.00, 90.00, 90.00 degrees
Each line ends with the local moment (μB).
Sites, in units of the cell vectors:
Ni (0.500, 0.500, 0.000)  0.52
Ni (0.500, 0.000, 0.866)  0.23
Ni (0.000, 0.500, 0.866)  0.23
Ni (0.500, 0.500, 0.682)  0.03
Ni (0.500, 0.000, 0.500)  0.01
Ni (0.500, 0.000, 0.134)  0.23
Zr (0.000, 0.000, 0.686)  -0.03
Ni (0.000, 0.500, 0.134)  0.23
Ni (0.000, 0.500, 0.500)  0.01
H (0.000, 0.000, 0.000)  0.00
Zr (0.000, 0.000, 0.314)  -0.03
Ni (0.500, 0.500, 0.318)  0.03

## Properties
D(E_F) ... 0.7533 states/eV per atom
Raw total energy ... -6.17 eV/atom
Crystal system ... tetragonal

***

The lowest D(E_F) belongs to which entry?
number 5